VASP calculation (PBEsol) on a relaxed LaZn2Cd2 crystal.

```
data_LaZn2Cd2
_chemical_formula_sum 'La2 Zn4 Cd4'
_cell_length_a 4.548
_cell_length_b 4.548
_cell_length_c 10.596
_cell_angle_alpha 90.00
_cell_angle_beta 90.00
_cell_angle_gamma 90.00
_symmetry_space_group_name_H-M 'I 4/m m m'
_symmetry_Int_Tables_number 139
_symmetry_space_group_name_Hall '-I 4 2'
loop_
_atom_site_label
_atom_site_type_symbol
_atom_site_fract_x
_atom_site_fract_y
_atom_site_fract_z
La1 La 0.000 0.000 0.000
Zn1 Zn 0.000 0.500 0.250
Cd1 Cd 0.000 0.000 0.374
```

## Properties
Total magnetic moment, μB per formula unit: 0.000
Density, g/cm³: 7.49
Energy relative to the elements, eV/atom: -0.2228
Final energy, eV/atom: -2.404
Crystal system: tetragonal

=====

VASP calculation (PBEsol) on a relaxed Mn2PtPb crystal.

```
data_Mn2PtPb
_chemical_formula_sum 'Mn2 Pt1 Pb1'
_cell_length_a 3.367
_cell_length_b 3.367
_cell_length_c 5.898
_cell_angle_alpha 90.00
_cell_angle_beta 90.00
_cell_angle_gamma 90.00
_symmetry_space_group_name_H-M 'P 4 m m'
_symmetry_Int_Tables_number 99
_symmetry_space_group_name_Hall 'P 4 -2'
loop_
_atom_site_label
_atom_site_type_symbol
_atom_site_fract_x
_atom_site_fract_y
_atom_site_fract_z
Mn1 Mn 0.000 0.000 0.000
Mn2 Mn 0.500 0.500 0.229
Pt1 Pt 0.500 0.500 0.792
Pb1 Pb 0.000 0.000 0.499
```

## Properties
Total magnetic moment, μB per formula unit: 7.304
Density, g/cm³: 12.72
Energy relative to the elements, eV/atom: 0.3053
Final energy, eV/atom: -7.316
Crystal system: tetragonal

=====

VASP calculation (PBEsol) on a relaxed KCaAs2 crystal.

```
data_KCaAs2
_chemical_formula_sum 'K1 Ca1 As2'
_cell_length_a 3.941
_cell_length_b 3.941
_cell_length_c 6.904
_cell_angle_alpha 90.00
_cell_angle_beta 90.00
_cell_angle_gamma 90.00
_symmetry_space_group_name_H-M 'P 4/m m m'
_symmetry_Int_Tables_number 123
_symmetry_space_group_name_Hall '-P 4 2'
loop_
_atom_site_label
_atom_site_type_symbol
_atom_site_fract_x
_atom_site_fract_y
_atom_site_fract_z
K1 K 0.000 0.000 0.000
Ca1 Ca 0.000 0.000 0.500
As1 As 0.500 0.500 0.324
```

## Properties
Total magnetic moment, μB per formula unit: 0.000
ΔE to the lowest computed polymorph, meV per atom: 0
Density, g/cm³: 3.55
Energy relative to the elements, eV/atom: -0.7258
Final energy, eV/atom: -4.096
Crystal system: tetragonal

=====

VASP calculation (PBEsol) on a relaxed TaTlOs3 crystal.

```
data_TaTlOs3
_chemical_formula_sum 'Ta1 Tl1 Os3'
_cell_length_a 4.727
_cell_length_b 4.727
_cell_length_c 4.727
_cell_angle_alpha 90.00
_cell_angle_beta 90.00
_cell_angle_gamma 90.00
_symmetry_space_group_name_H-M 'P m -3 m'
_symmetry_Int_Tables_number 221
_symmetry_space_group_name_Hall '-P 4 2 3'
loop_
_atom_site_label
_atom_site_type_symbol
_atom_site_fract_x
_atom_site_fract_y
_atom_site_fract_z
Ta1 Ta 0.000 0.000 0.000
Tl1 Tl 0.500 0.500 0.500
Os1 Os 0.000 0.500 0.500
```

## Properties
Total magnetic moment, μB per formula unit: 0.000
Density, g/cm³: 15.03
Energy relative to the elements, eV/atom: 3.1762
Final energy, eV/atom: -7.190
Crystal system: cubic

=====

VASP calculation (PBEsol) on a relaxed CaH2O2 crystal.

```
data_CaH2O2
_chemical_formula_sum 'Ca1 H2 O2'
_cell_length_a 3.5593
_cell_length_b 3.5593
_cell_length_c 4.7487
_cell_angle_alpha 90.00
_cell_angle_beta 90.00
_cell_angle_gamma 120.00
_symmetry_space_group_name_H-M 'P -3 m 1'
_symmetry_Int_Tables_number 164
_symmetry_space_group_name_Hall '-P 3 2"'
loop_
_atom_site_label
_atom_site_type_symbol
_atom_site_fract_x
_atom_site_fract_y
_atom_site_fract_z
Ca1 Ca 0.0000 0.0000 0.0000
H1 H 0.3333 0.6667 0.4469
O1 O 0.3333 0.6667 0.2409
```

## Properties
Total magnetic moment, μB per formula unit: 0.000
ΔE to the lowest computed polymorph, meV per atom: 0
Density, g/cm³: 2.36
Final energy, eV/atom: -5.749
Crystal system: trigonal

=====

VASP calculation (PBEsol) on a relaxed ScNi2Br crystal.

```
data_ScNi2Br
_chemical_formula_sum 'Sc1 Ni2 Br1'
_cell_length_a 3.241
_cell_length_b 3.218
_cell_length_c 6.544
_cell_angle_alpha 90.00
_cell_angle_beta 104.12
_cell_angle_gamma 90.00
_symmetry_space_group_name_H-M 'P 1 m 1'
_symmetry_Int_Tables_number 6
_symmetry_space_group_name_Hall 'P -2y'
loop_
_atom_site_label
_atom_site_type_symbol
_atom_site_fract_x
_atom_site_fract_y
_atom_site_fract_z
Sc1 Sc 0.000 0.000 0.000
Ni1 Ni 0.378 0.500 0.756
Ni2 Ni 0.819 0.000 0.636
Br1 Br 0.631 0.500 0.264
```

## Properties
Total magnetic moment, μB per formula unit: 0.001
Density, g/cm³: 6.08
Formation energy from raw total energies, eV per atom: -0.27
Final energy, eV/atom: -5.467
Crystal system: monoclinic

=====

VASP calculation (PBEsol) on a relaxed TlFe2W crystal.

```
data_TlFe2W
_chemical_formula_sum 'Tl4 Fe8 W4'
_cell_length_a 6.051
_cell_length_b 6.051
_cell_length_c 6.051
_cell_angle_alpha 90.00
_cell_angle_beta 90.00
_cell_angle_gamma 90.00
_symmetry_space_group_name_H-M 'F m -3 m'
_symmetry_Int_Tables_number 225
_symmetry_space_group_name_Hall '-F 4 2 3'
loop_
_atom_site_label
_atom_site_type_symbol
_atom_site_fract_x
_atom_site_fract_y
_atom_site_fract_z
Tl1 Tl 0.000 0.000 0.000
Fe1 Fe 0.250 0.250 0.250
W1 W 0.000 0.000 0.500
```

## Properties
Total magnetic moment, μB per formula unit: 1.134
Density, g/cm³: 14.99
Energy relative to the elements, eV/atom: 0.5476
Final energy, eV/atom: -8.044
Crystal system: cubic

=====

VASP calculation (PBEsol) on a relaxed AlBrCl3 crystal.

```
data_AlBrCl3
_chemical_formula_sum 'Al1 Br1 Cl3'
_cell_length_a 4.707
_cell_length_b 4.707
_cell_length_c 4.707
_cell_angle_alpha 90.00
_cell_angle_beta 90.00
_cell_angle_gamma 90.00
_symmetry_space_group_name_H-M 'P m -3 m'
_symmetry_Int_Tables_number 221
_symmetry_space_group_name_Hall '-P 4 2 3'
loop_
_atom_site_label
_atom_site_type_symbol
_atom_site_fract_x
_atom_site_fract_y
_atom_site_fract_z
Al1 Al 0.000 0.000 0.000
Br1 Br 0.500 0.500 0.500
Cl1 Cl 0.000 0.000 0.500
```

## Properties
Total magnetic moment, μB per formula unit: 1.060
Density, g/cm³: 3.39
Formation energy from raw total energies, eV per atom: -0.67
Final energy, eV/atom: -3.064
Crystal system: cubic

=====

VASP calculation (PBEsol) on a relaxed TaTl2As crystal.

```
data_TaTl2As
_chemical_formula_sum 'Ta1 Tl2 As1'
_cell_length_a 3.056
_cell_length_b 5.178
_cell_length_c 5.368
_cell_angle_alpha 90.00
_cell_angle_beta 90.00
_cell_angle_gamma 90.00
_symmetry_space_group_name_H-M 'P m m m'
_symmetry_Int_Tables_number 47
_symmetry_space_group_name_Hall '-P 2 2'
loop_
_atom_site_label
_atom_site_type_symbol
_atom_site_fract_x
_atom_site_fract_y
_atom_site_fract_z
Ta1 Ta 0.000 0.000 0.000
Tl1 Tl 0.000 0.500 0.500
Tl2 Tl 0.500 0.000 0.500
As1 As 0.500 0.500 0.000
```

## Properties
Total magnetic moment, μB per formula unit: 0.000
ΔE to the lowest computed polymorph, meV per atom: 0
Density, g/cm³: 12.99
Energy relative to the elements, eV/atom: 0.5542
Final energy, eV/atom: -5.175
Crystal system: orthorhombic

=====

VASP calculation (PBEsol) on a relaxed NiAs2P crystal.

```
data_NiAs2P
_chemical_formula_sum 'Ni3 As6 P3'
_cell_length_a 2.9537
_cell_length_b 2.9537
_cell_length_c 25.3181
_cell_angle_alpha 90.00
_cell_angle_beta 90.00
_cell_angle_gamma 120.00
_symmetry_space_group_name_H-M 'R 3 m'
_symmetry_Int_Tables_number 160
_symmetry_space_group_name_Hall 'R 3 -2"'
loop_
_atom_site_label
_atom_site_type_symbol
_atom_site_fract_x
_atom_site_fract_y
_atom_site_fract_z
Ni1 Ni 0.0000 0.0000 0.0000
As1 As 0.0000 0.0000 0.2608
As2 As 0.0000 0.0000 0.4687
P1 P 0.0000 0.0000 0.7235
```

## Properties
Total magnetic moment, μB per formula unit: 0.000
Density, g/cm³: 6.24
Energy relative to the elements, eV/atom: 0.0664
Final energy, eV/atom: -5.474
Crystal system: trigonal

=====

VASP calculation (PBEsol) on a relaxed BeSiTe crystal.

```
data_BeSiTe
_chemical_formula_sum 'Be4 Si4 Te4'
_cell_length_a 6.236
_cell_length_b 6.236
_cell_length_c 6.236
_cell_angle_alpha 90.00
_cell_angle_beta 90.00
_cell_angle_gamma 90.00
_symmetry_space_group_name_H-M 'F -4 3 m'
_symmetry_Int_Tables_number 216
_symmetry_space_group_name_Hall 'F -4 2 3'
loop_
_atom_site_label
_atom_site_type_symbol
_atom_site_fract_x
_atom_site_fract_y
_atom_site_fract_z
Be1 Be 0.000 0.000 0.000
Si1 Si 0.250 0.250 0.750
Te1 Te 0.000 0.000 0.500
```

## Properties
Total magnetic moment, μB per formula unit: 0.000
ΔE to the lowest computed polymorph, meV per atom: 305
Density, g/cm³: 4.51
Formation energy from raw total energies, eV per atom: 0.82
Final energy, eV/atom: -3.601
Crystal system: cubic

=====

VASP calculation (PBEsol) on a relaxed TeIr2Cl crystal.

```
data_TeIr2Cl
_chemical_formula_sum 'Te3 Ir6 Cl3'
_cell_length_a 3.0573
_cell_length_b 3.0573
_cell_length_c 27.8688
_cell_angle_alpha 90.00
_cell_angle_beta 90.00
_cell_angle_gamma 120.00
_symmetry_space_group_name_H-M 'R 3 m'
_symmetry_Int_Tables_number 160
_symmetry_space_group_name_Hall 'R 3 -2"'
loop_
_atom_site_label
_atom_site_type_symbol
_atom_site_fract_x
_atom_site_fract_y
_atom_site_fract_z
Te1 Te 0.0000 0.0000 0.0000
Ir1 Ir 0.0000 0.0000 0.4804
Ir2 Ir 0.0000 0.0000 0.7456
Cl1 Cl 0.0000 0.0000 0.2138
```

## Properties
Total magnetic moment, μB per formula unit: 0.001
ΔE to the lowest computed polymorph, meV per atom: 0
Density, g/cm³: 12.09
Formation energy from raw total energies, eV per atom: 0.43
Final energy, eV/atom: -5.862
Crystal system: trigonal